[1]
Computed, not measured: crystalline MgTeRu2 at its relaxed geometry at the PBE-GGA level of DFT.

Results
* space-group type: R-3m (166)
* E_form (uncorrected): 0.31 eV per atom
* electronic total energy: -5.52 eV per atom
* energy above the lowest structure with this stoichiometry: 358 meV/atom

Cell and atoms, written as POSCAR:
```
MgTeRu2
1.0
1.5867 0.9161 8.0995
-1.5867 0.9161 8.0995
0.0000 -1.8322 8.0995
Mg Te Ru
1 1 2
Cartesian
0.0000 0.0000 0.0000 Mg
0.0000 0.0000 12.1492 Te
0.0000 0.0000 5.9451 Ru
0.0000 0.0000 18.3533 Ru
```


[2]
Computed, not measured: crystalline Mg2TeRu at its relaxed geometry at the PBE-GGA level of DFT.

Results
* space-group type: Pmm2 (25)
* E_form (uncorrected): 0.04 eV per atom
* electronic total energy: -3.86 eV per atom

Cell and atoms, written as POSCAR:
```
Mg2TeRu
1.0
3.3591 0.0000 0.0000
0.0000 3.8301 0.0000
0.0000 0.0000 5.9945
Mg Te Ru
2 1 1
Cartesian
0.0000 0.0000 0.0000 Mg
1.6795 1.9151 1.5613 Mg
1.6795 1.9151 4.3025 Te
0.0000 0.0000 2.9458 Ru
```


[3]
Computed, not measured: crystalline MgTeRu at its relaxed geometry at the PBE-GGA level of DFT.

Results
* space-group type: P4/nmm (129)
* E_form (uncorrected): -0.23 eV per atom
* electronic total energy: -4.90 eV per atom
* energy above the lowest structure with this stoichiometry: 0 meV/atom

Cell and atoms, written as POSCAR:
```
MgTeRu
1.0
4.3838 0.0000 0.0000
0.0000 4.3838 0.0000
0.0000 0.0000 6.2215
Mg Te Ru
2 2 2
Cartesian
1.0959 1.0959 1.4044 Mg
3.2878 3.2878 4.8171 Mg
1.0959 1.0959 4.7154 Te
3.2878 3.2878 1.5061 Te
1.0959 3.2878 3.1108 Ru
3.2878 1.0959 3.1108 Ru
```


[4]
Computed, not measured: crystalline Mg2TeRu at its relaxed geometry at the PBE-GGA level of DFT.

Results
* space-group type: Cm (8)
* E_form (uncorrected): -0.09 eV per atom
* electronic total energy: -3.99 eV per atom

Cell and atoms, written as POSCAR:
```
Mg2TeRu
1.0
5.0314 -1.6460 0.0000
5.0314 1.6460 0.0000
-1.3516 0.0000 4.9906
Mg Te Ru
2 1 1
Cartesian
0.0000 0.0000 0.0000 Mg
1.2031 0.0000 3.5192 Mg
3.7090 0.0000 2.1020 Te
7.2479 0.0000 0.7264 Ru
```


[5]
Computed, not measured: crystalline MgTeRu3 at its relaxed geometry at the PBE-GGA level of DFT.

Results
* space-group type: Pm-3m (221)
* E_form (uncorrected): 1.16 eV per atom
* electronic total energy: -5.35 eV per atom
* energy above the lowest structure with this stoichiometry: 0 meV/atom

Cell and atoms, written as POSCAR:
```
MgTeRu3
1.0
4.8024 0.0000 0.0000
0.0000 4.8024 0.0000
0.0000 0.0000 4.8024
Mg Te Ru
1 1 3
Cartesian
0.0000 0.0000 0.0000 Mg
2.4012 2.4012 2.4012 Te
0.0000 2.4012 2.4012 Ru
2.4012 0.0000 2.4012 Ru
2.4012 2.4012 0.0000 Ru
```


[6]
Computed, not measured: crystalline MgTeRu2 at its relaxed geometry at the PBE-GGA level of DFT.

Results
* space-group type: C2/m (12)
* E_form (uncorrected): 0.16 eV per atom
* electronic total energy: -5.66 eV per atom
* energy above the lowest structure with this stoichiometry: 214 meV/atom

Cell and atoms, written as POSCAR:
```
MgTeRu2
1.0
4.2993 -1.5452 0.0000
4.2993 1.5452 0.0000
-0.9088 0.0000 5.0721
Mg Te Ru
1 1 2
Cartesian
0.0000 0.0000 0.0000 Mg
3.8449 0.0000 2.5360 Te
1.4484 0.0000 3.7278 Ru
6.2413 0.0000 1.3443 Ru
```


[7]
Computed, not measured: crystalline Mg2TeRu at its relaxed geometry at the PBE-GGA level of DFT.

Results
* space-group type: R-3m (166)
* E_form (uncorrected): 0.13 eV per atom
* electronic total energy: -3.78 eV per atom

Cell and atoms, written as POSCAR:
```
Mg2TeRu
1.0
1.6082 0.9285 9.1582
-1.6082 0.9285 9.1582
0.0000 -1.8570 9.1582
Mg Te Ru
2 1 1
Cartesian
0.0000 0.0000 6.4852 Mg
0.0000 0.0000 20.9894 Mg
0.0000 0.0000 0.0000 Te
0.0000 0.0000 13.7373 Ru
```


[8]
Computed, not measured: crystalline Mg2TeRu at its relaxed geometry at the PBE-GGA level of DFT.

Results
* space-group type: I-4m2 (119)
* E_form (uncorrected): -0.01 eV per atom
* electronic total energy: -3.91 eV per atom

Cell and atoms, written as POSCAR:
```
Mg2TeRu
1.0
-2.0982 2.0982 4.2255
2.0982 -2.0982 4.2255
2.0982 2.0982 -4.2255
Mg Te Ru
2 1 1
Cartesian
0.0000 0.0000 0.0000 Mg
0.0000 2.0982 2.1127 Mg
0.0000 0.0000 4.2255 Te
2.0982 0.0000 2.1127 Ru
```


[9]
Computed, not measured: crystalline Mg2TeRu at its relaxed geometry at the PBE-GGA level of DFT.

Results
* space-group type: P4/mmm (123)
* E_form (uncorrected): 0.01 eV per atom
* electronic total energy: -3.90 eV per atom

Cell and atoms, written as POSCAR:
```
Mg2TeRu
1.0
3.1478 0.0000 0.0000
0.0000 3.1478 0.0000
0.0000 0.0000 8.5779
Mg Te Ru
2 1 1
Cartesian
0.0000 0.0000 1.5573 Mg
0.0000 0.0000 7.0206 Mg
1.5739 1.5739 4.2890 Te
1.5739 1.5739 0.0000 Ru
```


[10]
Computed, not measured: crystalline MgTeRu2 at its relaxed geometry at the PBE-GGA level of DFT.

Results
* space-group type: P2/m (10)
* E_form (uncorrected): 0.27 eV per atom
* electronic total energy: -5.55 eV per atom
* energy above the lowest structure with this stoichiometry: 324 meV/atom

Cell and atoms, written as POSCAR:
```
MgTeRu2
1.0
3.0619 0.0000 0.0000
0.0000 4.1260 0.0000
-1.5127 0.0000 5.4938
Mg Te Ru
1 1 2
Cartesian
0.0000 0.0000 0.0000 Mg
0.7746 0.0000 2.7469 Te
0.0135 2.0630 4.0688 Ru
1.5358 2.0630 1.4250 Ru
```


[11]
Computed, not measured: crystalline ThMg5Ru2 at its relaxed geometry at the PBE-GGA level of DFT.

Results
* energy of formation: -0.14 eV per atom
* space-group type: Immm (71)
* electronic total energy: -4.38 eV per atom

Cell and atoms, written as POSCAR:
```
ThMg5Ru2
1.0
-2.0269 4.2841 4.7731
2.0269 -4.2841 4.7731
2.0269 4.2841 -4.7731
Th Mg Ru
1 5 2
Cartesian
0.0000 0.0000 0.0000 Th
2.0269 2.7450 -1.6055 Mg
2.0269 2.7450 1.6055 Mg
0.0000 4.2841 0.0000 Mg
0.0000 1.5391 3.1676 Mg
0.0000 1.5391 6.3786 Mg
2.0269 0.0000 1.9926 Ru
0.0000 4.2841 2.7804 Ru
```


[12]
Computed, not measured: crystalline Th2Mg2Ru3 at its relaxed geometry at the PBE-GGA level of DFT.

Results
* energy of formation: -0.29 eV per atom
* space-group type: R-3m (166)
* electronic total energy: -6.84 eV per atom

Cell and atoms, written as POSCAR:
```
Th2Mg2Ru3
1.0
2.3796 1.3739 7.4322
-2.3796 1.3739 7.4322
0.0000 -2.7477 7.4322
Th Mg Ru
2 2 3
Cartesian
0.0000 0.0000 2.4726 Th
0.0000 0.0000 19.8240 Th
0.0000 0.0000 8.1142 Mg
0.0000 0.0000 14.1824 Mg
0.0000 0.0000 5.4104 Ru
0.0000 0.0000 11.1483 Ru
0.0000 0.0000 16.8863 Ru
```